The following is a DFT calculation (GGA+U) of crystalline FeI2O2 at its relaxed geometry.

Unit cell a=4.139 b=4.139 c=6.400 alpha=90.00 beta=90.00 gamma=90.00
Fractional positions:
Fe 0.000 0.000 0.000
I 0.000 0.000 0.500
I 0.500 0.500 0.500
O 0.000 0.500 0.000
O 0.500 0.000 0.000

Values from the calculation:
E   -3.677 eV/atom
SG   P4/mmm, No. 123
Total magnetization   5.75 μB/cell